GeTeIN2 SCAN single point on PBEsol structure; SG = P4/mmm; uncorrected formation energy = 7.80 eV per formula unit
1.0
4.058 0.000 0.000
0.000 4.058 0.000
0.000 0.000 6.782
Ge Te I N
1 1 1 2
Direct
0.000 0.000 0.000 Ge
0.500 0.500 0.500 Te
0.500 0.500 0.000 I
0.000 0.500 0.500 N
0.500 0.000 0.500 N

---

Zr2NbGeI SCAN single point on PBEsol structure; SG = P4/mmm; uncorrected formation energy = 7.29 eV per formula unit
1.0
5.141 0.000 0.000
0.000 5.141 0.000
0.000 0.000 5.165
Zr Nb Ge I
2 1 1 1
Direct
0.000 0.500 0.000 Zr
0.500 0.000 0.000 Zr
0.000 0.000 0.500 Nb
0.500 0.500 0.500 Ge
0.500 0.500 0.000 I

---

NiGeI2O SCAN single point on PBEsol structure; SG = P4/mmm; uncorrected formation energy = 0.98 eV per formula unit
1.0
5.527 0.000 0.000
0.000 5.527 0.000
0.000 0.000 3.644
Ni Ge I O
1 1 2 1
Direct
0.000 0.000 0.000 Ni
0.500 0.500 0.500 Ge
0.000 0.500 0.500 I
0.500 0.000 0.500 I
0.500 0.500 0.000 O

---

TiNi2GeI SCAN single point on PBEsol structure; SG = P4/mmm; uncorrected formation energy = 6.30 eV per formula unit
1.0
4.441 0.000 0.000
0.000 4.441 0.000
0.000 0.000 5.552
Ti Ni Ge I
1 2 1 1
Direct
0.000 0.000 0.000 Ti
0.000 0.500 0.500 Ni
0.500 0.000 0.500 Ni
0.500 0.500 0.000 Ge
0.500 0.500 0.500 I

---

GeI2O2 SCAN single point on PBEsol structure; SG = P4/mmm; uncorrected formation energy = 0.30 eV per formula unit
1.0
4.042 0.000 0.000
0.000 4.042 0.000
0.000 0.000 6.012
Ge I O
1 2 2
Direct
0.000 0.000 0.000 Ge
0.000 0.000 0.500 I
0.500 0.500 0.500 I
0.000 0.500 0.000 O
0.500 0.000 0.000 O

---

GeRhIO2 SCAN single point on PBEsol structure; SG = P4/mmm; uncorrected formation energy = 0.48 eV per formula unit
1.0
3.964 0.000 0.000
0.000 3.964 0.000
0.000 0.000 5.365
Ge Rh I O
1 1 1 2
Direct
0.000 0.000 0.000 Ge
0.500 0.500 0.500 Rh
0.500 0.500 0.000 I
0.000 0.500 0.500 O
0.500 0.000 0.500 O

---

GeSeI2O SCAN single point on PBEsol structure; SG = P4/mmm; uncorrected formation energy = 0.65 eV per formula unit
1.0
5.662 0.000 0.000
0.000 5.662 0.000
0.000 0.000 3.656
Ge Se I O
1 1 2 1
Direct
0.000 0.000 0.000 Ge
0.500 0.500 0.500 Se
0.000 0.500 0.000 I
0.500 0.000 0.000 I
0.000 0.000 0.500 O

---

SrGeIO2 SCAN single point on PBEsol structure; SG = P4/mmm; uncorrected formation energy = -1.50 eV per formula unit
1.0
4.513 0.000 0.000
0.000 4.513 0.000
0.000 0.000 6.267
Sr Ge I O
1 1 1 2
Direct
0.000 0.000 0.000 Sr
0.500 0.500 0.500 Ge
0.000 0.000 0.500 I
0.000 0.500 0.000 O
0.500 0.000 0.000 O

---

GeOsI3 SCAN single point on PBEsol structure; SG = Pm-3m; uncorrected formation energy = 4.62 eV per formula unit
1.0
5.267 0.000 0.000
0.000 5.267 0.000
0.000 0.000 5.267
Ge Os I
1 1 3
Direct
0.000 0.000 0.000 Ge
0.500 0.500 0.500 Os
0.000 0.500 0.500 I
0.500 0.000 0.500 I
0.500 0.500 0.000 I

---

GeOs2I SCAN single point on PBEsol structure; SG = Fm-3m; uncorrected formation energy = 5.01 eV per formula unit
1.0
0.000 3.190 3.190
3.190 0.000 3.190
3.190 3.190 0.000
Ge Os I
1 2 1
Direct
0.000 0.000 0.000 Ge
0.250 0.250 0.250 Os
0.750 0.750 0.750 Os
0.500 0.500 0.500 I

---

ReGePI2 SCAN single point on PBEsol structure; SG = P4/mmm; uncorrected formation energy = 8.25 eV per formula unit
1.0
5.610 0.000 0.000
0.000 5.610 0.000
0.000 0.000 4.986
Re Ge P I
1 1 1 2
Direct
0.000 0.000 0.000 Re
0.000 0.000 0.500 Ge
0.500 0.500 0.000 P
0.000 0.500 0.500 I
0.500 0.000 0.500 I

---

GePS2I SCAN single point on PBEsol structure; SG = P4/mmm; uncorrected formation energy = 6.25 eV per formula unit
1.0
5.021 0.000 0.000
0.000 5.021 0.000
0.000 0.000 5.000
Ge P S I
1 1 2 1
Direct
0.000 0.000 0.000 Ge
0.500 0.500 0.000 P
0.000 0.500 0.500 S
0.500 0.000 0.500 S
0.500 0.500 0.500 I

---

RbGePb2I SCAN single point on PBEsol structure; SG = P4/mmm; uncorrected formation energy = 6.22 eV per formula unit
1.0
6.409 0.000 0.000
0.000 6.409 0.000
0.000 0.000 5.359
Rb Ge Pb I
1 1 2 1
Direct
0.000 0.000 0.000 Rb
0.000 0.000 0.500 Ge
0.000 0.500 0.000 Pb
0.500 0.000 0.000 Pb
0.500 0.500 0.500 I

---

Ge2PdWI SCAN single point on PBEsol structure; SG = P4/mmm; uncorrected formation energy = 7.24 eV per formula unit
1.0
4.690 0.000 0.000
0.000 4.690 0.000
0.000 0.000 5.385
Ge Pd W I
2 1 1 1
Direct
0.000 0.500 0.000 Ge
0.500 0.000 0.000 Ge
0.000 0.000 0.000 Pd
0.500 0.500 0.500 W
0.000 0.000 0.500 I

---

GeTePtI2 SCAN single point on PBEsol structure; SG = P4/mmm; uncorrected formation energy = 5.22 eV per formula unit
1.0
5.336 0.000 0.000
0.000 5.336 0.000
0.000 0.000 5.401
Ge Te Pt I
1 1 1 2
Direct
0.000 0.000 0.000 Ge
0.000 0.000 0.500 Te
0.500 0.500 0.500 Pt
0.000 0.500 0.000 I
0.500 0.000 0.000 I

---

RbGeI3 SCAN single point on PBEsol structure; SG = Pm-3m; uncorrected formation energy = -4.11 eV per formula unit
1.0
5.811 0.000 0.000
0.000 5.811 0.000
0.000 0.000 5.811
Rb Ge I
1 1 3
Direct
0.000 0.000 0.000 Rb
0.500 0.500 0.500 Ge
0.000 0.500 0.500 I
0.500 0.000 0.500 I
0.500 0.500 0.000 I

---

RbGe2I SCAN single point on PBEsol structure; SG = Fm-3m; uncorrected formation energy = 2.62 eV per formula unit
1.0
0.000 3.831 3.831
3.831 0.000 3.831
3.831 3.831 0.000
Rb Ge I
1 2 1
Direct
0.000 0.000 0.000 Rb
0.250 0.250 0.250 Ge
0.750 0.750 0.750 Ge
0.500 0.500 0.500 I

---

ReGe2I SCAN single point on PBEsol structure; SG = Fm-3m; uncorrected formation energy = 5.69 eV per formula unit
1.0
0.000 3.321 3.321
3.321 0.000 3.321
3.321 3.321 0.000
Re Ge I
1 2 1
Direct
0.000 0.000 0.000 Re
0.250 0.250 0.250 Ge
0.750 0.750 0.750 Ge
0.500 0.500 0.500 I

---

Re3GeI SCAN single point on PBEsol structure; SG = Pm-3m; uncorrected formation energy = 11.23 eV per formula unit
1.0
4.585 0.000 0.000
0.000 4.585 0.000
0.000 0.000 4.585
Re Ge I
3 1 1
Direct
0.000 0.000 0.500 Re
0.000 0.500 0.000 Re
0.500 0.000 0.000 Re
0.000 0.000 0.000 Ge
0.500 0.500 0.500 I

---

GeRh3I SCAN single point on PBEsol structure; SG = Pm-3m; uncorrected formation energy = 3.29 eV per formula unit
1.0
4.554 0.000 0.000
0.000 4.554 0.000
0.000 0.000 4.554
Ge Rh I
1 3 1
Direct
0.000 0.000 0.000 Ge
0.000 0.000 0.500 Rh
0.000 0.500 0.000 Rh
0.500 0.000 0.000 Rh
0.500 0.500 0.500 I